(1)
The following is a DFT calculation (PBE) of a geometry-optimized LiTa3I structure.

abc: 4.5619 4.5619 4.5619
angles: 90.00 90.00 90.00
Closest atoms and distances in Å follow each position.
Space group Pm-3m (No. 221)
Unique sites:
Li  0.0000  0.0000  0.0000 x1  6 Ta 2.28
Ta  0.0000  0.0000  0.5000 x3  2 Li 2.28
I  0.5000  0.5000  0.5000 x1  12 Ta 3.23

Summary:
- Offset from the most stable computed form: 0 meV/atom
- DFT total energy: -6.29 eV per atom
- DOS(E_F): 1.16 states/eV per atom
- Magnetic moment: 0.0 μB/f.u.
- ΔE_f (raw): 729 kJ/mol of formula units

(2)
The following is a DFT calculation (PBE) of a geometry-optimized NbCr2Pd9 structure.

abc: 3.9370 3.9370 11.7960
angles: 90.00 90.00 90.00
Closest atoms and distances in Å follow each position.
Space group P4/mmm (No. 123)
Unique sites:
Nb  0.0000  0.0000  0.0000 x1  12 Pd 2.77-2.78
Cr  0.0000  0.0000  0.3417 x2  12 Pd 2.71-2.86
Pd  0.0000  0.5000  0.1654 x4  2 Nb 2.77, 8 Pd 2.77-2.78, 2 Cr 2.86
Pd  0.0000  0.5000  0.5000 x2  4 Cr 2.71, 8 Pd 2.78-2.79
Pd  0.5000  0.5000  0.0000 x1  8 Pd 2.77, 4 Nb 2.78
Pd  0.5000  0.5000  0.3324 x2  8 Pd 2.78-2.79, 4 Cr 2.79

Summary:
- Formation enthalpy at 0 K: -0.22 eV/atom
- DFT total energy: -6.55 eV per atom
- DOS(E_F): 0.73 states/eV per atom
- Magnetic moment: 5.9 μB/f.u.